1:
VASP calculation (PBE) on an optimized crystal structure of RbBa3I.

a = 7.2043 Å, b = 7.2043 Å, c = 7.2043 Å
α = 90.00°, β = 90.00°, γ = 90.00°
Site moments in Bohr magnetons follow the coordinates.
Positions (direct):
Ba  0.5000  0.0000  0.0000  0.24
Ba  0.0000  0.5000  0.0000  0.28
Ba  0.0000  0.0000  0.5000  0.32
Rb  0.0000  0.0000  0.0000  0.12
I  0.5000  0.5000  0.5000  0.04

2:
VASP calculation (PBE) on an optimized crystal structure of RbBa3I.

a = 6.9116 Å, b = 6.9116 Å, c = 6.9116 Å
α = 90.00°, β = 90.00°, γ = 90.00°
Site moments in Bohr magnetons follow the coordinates.
Positions (direct):
Ba  0.5000  0.0000  0.0000  0.13
Ba  0.0000  0.5000  0.0000  0.18
Ba  0.0000  0.0000  0.5000  0.20
I  0.0000  0.0000  0.0000  0.01
Rb  0.5000  0.5000  0.5000  0.02

2 (0.678 eV/atom below the next structure)